Entry 1:
A plane-wave DFT calculation with GGA-PBE was carried out for a relaxed NpGeH crystal.

DOS(E_F): 12.7 states/eV/cell
Theoretical density: 11.2 g/cm³
Energy above the most stable polymorph in this dataset: 0 meV per atom

Lattice parameters (Å, degrees): 4.1209 4.0343 5.9174 90.00 110.41 90.00
With the nearest neighbours (Å) after each atom.
Element x y z (fractional)
Np 0.2709 0.1155 0.0043  4 H 2.29-2.30
Np 0.9592 0.6155 0.3813  4 H 2.29-2.30
Ge 0.6834 0.6155 0.8297  2 Ge 2.52, 2 H 2.81
Ge 0.5466 0.1155 0.5559  2 Ge 2.52, 2 H 2.81
H 0.3694 0.6155 0.2021  4 Np 2.29-2.30
H 0.8607 0.1155 0.1836  4 Np 2.29-2.30


Entry 2:
A plane-wave DFT calculation with GGA-PBE was carried out for a relaxed NpGeH2 crystal.

DOS(E_F): 6.3 states/eV/cell
Theoretical density: 10.1 g/cm³
Final energy: -6.0779 eV per atom

Lattice parameters (Å, degrees): 3.5813 3.5813 5.0659 69.30 69.30 60.00
With the nearest neighbours (Å) after each atom.
Element x y z (fractional)
Np 0.5000 0.5000 0.5000  6 H 2.13
H 0.7953 0.7953 0.6140  3 Np 2.13, 3 H 2.32
H 0.2047 0.2047 0.3860  3 Np 2.13, 3 H 2.32
Ge 0.0000 0.0000 0.0000  8 H 2.73-2.84


Entry 3:
A plane-wave DFT calculation with GGA-PBE was carried out for a relaxed Np2GeH2 crystal.

DOS(E_F): 21.1 states/eV/cell
Theoretical density: 12.1 g/cm³
Final energy: -7.6092 eV per atom

Lattice parameters (Å, degrees): 5.9252 5.9237 5.9169 125.07 101.98 102.55
With the nearest neighbours (Å) after each atom.
Element x y z (fractional)
Np 0.8197 0.1629 0.1647  4 H 2.23-2.24
Np 0.5015 0.3439 0.6644  4 H 2.23-2.24
Np 0.4985 0.6561 0.3356  4 H 2.23-2.24
Np 0.1803 0.8371 0.8353  4 H 2.23-2.24
Ge 0.0050 0.7549 0.2496  2 Ge 2.73, 2 H 3.05
Ge 0.9950 0.2451 0.7504  2 Ge 2.73, 2 H 3.05
H 0.5020 0.2253 0.9598  4 Np 2.23-2.24
H 0.2339 0.4560 0.4581  4 Np 2.23-2.24
H 0.4980 0.7747 0.0402  4 Np 2.23-2.24
H 0.7661 0.5440 0.5419  4 Np 2.23-2.24


Entry 4:
A plane-wave DFT calculation with GGA-PBE was carried out for a relaxed NpGe2H crystal.

DOS(E_F): 9.1 states/eV/cell
Theoretical density: 6.0 g/cm³
Final energy: -5.7404 eV per atom

Lattice parameters (Å, degrees): 4.6340 4.6340 6.3236 68.51 68.51 60.00
With the nearest neighbours (Å) after each atom.
Element x y z (fractional)
Np 0.5000 0.5000 0.5000  6 Ge 2.89
H 0.0000 0.0000 0.0000  2 Ge 1.77
Ge 0.1028 0.1028 0.6916  1 H 1.77
Ge 0.8972 0.8972 0.3084  1 H 1.77


Entry 5:
A plane-wave DFT calculation with GGA-PBE was carried out for a relaxed NpGeH crystal.

DOS(E_F): 9.4 states/eV/cell
Theoretical density: 10.6 g/cm³
Energy above the most stable polymorph in this dataset: 321 meV per atom

Lattice parameters (Å, degrees): 3.6519 3.6519 7.7723 103.59 103.59 90.00
With the nearest neighbours (Å) after each atom.
Element x y z (fractional)
Np 0.1617 0.1617 0.3234  1 H 2.30
Np 0.8383 0.8383 0.6766  1 H 2.30
H 0.6817 0.6817 0.3634  1 Np 2.30
H 0.3183 0.3183 0.6366  1 Np 2.30
Ge 0.0000 0.5000 0.0000  4 Ge 2.58
Ge 0.5000 0.0000 0.0000  4 Ge 2.58


Entry 6:
A plane-wave DFT calculation with GGA-PBE was carried out for a relaxed Np2GeH crystal.

DOS(E_F): 4.9 states/eV/cell
Theoretical density: 14.0 g/cm³
Final energy: -8.4217 eV per atom

Lattice parameters (Å, degrees): 2.9417 2.9417 8.8217 80.40 80.40 60.00
With the nearest neighbours (Å) after each atom.
Element x y z (fractional)
Np 0.2681 0.2681 0.1956  3 H 2.40
Np 0.7319 0.7319 0.8044  3 H 2.40
H 0.0000 0.0000 0.0000  6 Np 2.40
Ge 0.5000 0.5000 0.5000  6 Ge 2.94, 6 Np 3.13


Entry 7:
A plane-wave DFT calculation with GGA-PBE was carried out for a relaxed NpGeHPd crystal.

DOS(E_F): 9.5 states/eV/cell
Theoretical density: 11.0 g/cm³
Final energy: -6.8501 eV per atom

Lattice parameters (Å, degrees): 4.4079 4.4080 3.7250 90.00 90.00 120.00
With the nearest neighbours (Å) after each atom.
Element x y z (fractional)
Np 0.5719 0.1438 0.3098  3 H 2.54-2.55
Ge 0.9052 0.8105 0.8096  3 Pd 2.54-2.55
H 0.2386 0.4772 0.3098  2 Pd 1.86
Pd 0.2386 0.4771 0.8099  2 H 1.86


Entry 8:
A plane-wave DFT calculation with GGA-PBE was carried out for a relaxed NpGeHPd2 crystal.

DOS(E_F): 13.7 states/eV/cell
Theoretical density: 11.5 g/cm³
Final energy: -6.6168 eV per atom

Lattice parameters (Å, degrees): 3.0976 6.5792 7.6314 90.00 90.00 103.62
With the nearest neighbours (Å) after each atom.
Element x y z (fractional)
Np 0.4781 0.9562 0.7500  4 H 2.47
Np 0.5219 0.0438 0.2500  4 H 2.47
Ge 0.7676 0.5353 0.7500  6 Pd 2.57-2.58
Ge 0.2324 0.4647 0.2500  6 Pd 2.57-2.58
H 0.0000 0.0000 0.0000  2 Pd 2.01
H 0.0000 0.0000 0.5000  2 Pd 2.01
Pd 0.1532 0.3064 0.9388  1 H 2.01
Pd 0.8468 0.6936 0.0612  1 H 2.01
Pd 0.1532 0.3064 0.5612  1 H 2.01
Pd 0.8468 0.6936 0.4388  1 H 2.01


What did the eighth record say?
A plane-wave DFT calculation with GGA-PBE was carried out for a relaxed NpGeHPd2 crystal.

DOS(E_F): 13.7 states/eV/cell
Theoretical density: 11.5 g/cm³
Final energy: -6.6168 eV per atom

Lattice parameters (Å, degrees): 3.0976 6.5792 7.6314 90.00 90.00 103.62
With the nearest neighbours (Å) after each atom.
Element x y z (fractional)
Np 0.4781 0.9562 0.7500  4 H 2.47
Np 0.5219 0.0438 0.2500  4 H 2.47
Ge 0.7676 0.5353 0.7500  6 Pd 2.57-2.58
Ge 0.2324 0.4647 0.2500  6 Pd 2.57-2.58
H 0.0000 0.0000 0.0000  2 Pd 2.01
H 0.0000 0.0000 0.5000  2 Pd 2.01
Pd 0.1532 0.3064 0.9388  1 H 2.01
Pd 0.8468 0.6936 0.0612  1 H 2.01
Pd 0.1532 0.3064 0.5612  1 H 2.01
Pd 0.8468 0.6936 0.4388  1 H 2.01